Entry 1:
The following is a PBE calculation of an optimized crystal structure of Cs4Pa3S10, from Alexandria via LeMat-Bulk.

Computed properties:
Density of states at the Fermi level in states/eV/f.u.: 10.14
Total magnetization in μB per atom: 0.00
Formation energy (no corrections) in eV/atom: -1.50
Space-group type: I4/mmm (139)

Structure (POSCAR):
```
Cs4Pa3S10
1.0
-3.129 -0.931 4.209
4.256 -1.495 2.833
1.945 19.587 2.406
Cs Pa S
4 3 10
direct
0.569 0.569 0.137
0.431 0.431 0.863
0.296 0.296 0.592
0.704 0.704 0.408
0.138 0.138 0.275
0.862 0.862 0.725
0.000 0.000 0.000
0.136 0.636 0.271
0.067 0.067 0.135
0.636 0.136 0.271
0.864 0.364 0.729
0.364 0.864 0.729
0.933 0.933 0.865
0.202 0.202 0.404
0.798 0.798 0.596
0.000 0.500 0.000
0.500 0.000 0.000
```


Entry 2:
The following is a PBE calculation of an optimized crystal structure of Cs5PaS6, from Alexandria via LeMat-Bulk.

Computed properties:
Density of states at the Fermi level in states/eV/f.u.: 7.02
Total magnetization in μB per atom: 0.18
Formation energy (no corrections) in eV/atom: -1.18
Space-group type: C2/m (12)

Structure (POSCAR):
```
Cs5PaS6
1.0
8.282 0.357 0.000
2.622 8.084 0.000
1.311 4.042 7.268
Cs Pa S
5 1 6
direct
0.500 0.172 0.657
0.000 0.334 0.332
0.500 0.500 0.000
0.000 0.666 0.668
0.500 0.828 0.343
0.000 0.000 0.000
0.799 0.066 0.258
0.201 0.676 0.258
0.198 0.187 0.000
0.802 0.813 0.000
0.799 0.324 0.742
0.201 0.934 0.742
```


Entry 3:
The following is a PBE calculation of an optimized crystal structure of CsPa2S6, from Alexandria via LeMat-Bulk.

Computed properties:
Density of states at the Fermi level in states/eV/f.u.: 5.34
Total magnetization in μB per atom: 0.00
Distance to the lowest polymorph of the same formula in meV per atom: 0
Formation energy (no corrections) in eV/atom: -1.32
Space-group type: Fd-3m (227)

Structure (POSCAR):
```
CsPa2S6
1.0
8.329 0.000 4.809
2.776 7.853 4.809
0.000 0.000 9.618
Cs Pa S
2 4 12
direct
0.500 0.500 0.500
0.750 0.750 0.750
0.125 0.125 0.125
0.125 0.625 0.125
0.125 0.125 0.625
0.625 0.125 0.125
0.203 0.203 0.797
0.797 0.797 0.203
0.203 0.797 0.203
0.203 0.797 0.797
0.453 0.453 0.047
0.453 0.047 0.047
0.797 0.203 0.797
0.047 0.047 0.453
0.453 0.047 0.453
0.047 0.453 0.453
0.797 0.203 0.203
0.047 0.453 0.047
```


Entry 4:
The following is a PBE calculation of an optimized crystal structure of Cs2Pa3S6, from Alexandria via LeMat-Bulk.

Computed properties:
Density of states at the Fermi level in states/eV/f.u.: 13.06
Total magnetization in μB per atom: 0.46
Formation energy (no corrections) in eV/atom: -1.53
Space-group type: C2/m (12)

Structure (POSCAR):
```
Cs2Pa3S6
1.0
6.663 0.000 1.979
3.332 6.016 0.990
-0.179 0.000 8.695
Cs Pa S
2 3 6
direct
0.167 0.666 0.500
0.833 0.334 0.500
0.000 0.000 0.000
0.335 0.330 0.000
0.665 0.670 0.000
0.394 0.665 0.819
0.729 0.000 0.816
0.059 0.335 0.819
0.271 0.000 0.184
0.606 0.335 0.181
0.941 0.665 0.181
```


Entry 5:
The following is a PBE calculation of an optimized crystal structure of Cs3PaS4, from Alexandria via LeMat-Bulk.

Computed properties:
Density of states at the Fermi level in states/eV/f.u.: 0.00
Total magnetization in μB per atom: 0.00
Distance to the lowest polymorph of the same formula in meV per atom: 0
Formation energy (no corrections) in eV/atom: -1.42
Space-group type: Cmmm (65)

Structure (POSCAR):
```
Cs3PaS4
1.0
4.337 0.000 0.000
0.000 7.844 -3.272
0.000 0.141 8.498
Cs S Pa
3 4 1
direct
0.000 0.000 0.500
0.500 0.500 0.500
0.000 0.500 0.000
0.000 0.813 0.813
0.500 0.180 0.820
0.000 0.187 0.187
0.500 0.820 0.180
0.500 0.000 0.000
```


Entry 6:
The following is a PBE calculation of an optimized crystal structure of CsPa4S8, from Alexandria via LeMat-Bulk.

Computed properties:
Density of states at the Fermi level in states/eV/f.u.: 20.80
Total magnetization in μB per atom: 0.39
Distance to the lowest polymorph of the same formula in meV per atom: 95
Formation energy (no corrections) in eV/atom: -1.47
Space-group type: F-43m (216)

Structure (POSCAR):
```
CsPa4S8
1.0
8.427 0.000 0.000
4.213 7.298 0.000
4.213 2.433 6.880
Cs Pa S
1 4 8
direct
0.750 0.750 0.750
0.880 0.373 0.373
0.373 0.880 0.373
0.373 0.373 0.880
0.373 0.373 0.373
0.570 0.143 0.143
0.143 0.570 0.143
0.143 0.143 0.570
0.143 0.143 0.143
0.198 0.601 0.601
0.601 0.198 0.601
0.601 0.601 0.198
0.601 0.601 0.601
```


Entry 7:
The following is a PBE calculation of an optimized crystal structure of Cs5PaS5, from Alexandria via LeMat-Bulk.

Computed properties:
Density of states at the Fermi level in states/eV/f.u.: 0.00
Total magnetization in μB per atom: 0.00
Formation energy (no corrections) in eV/atom: -1.29
Space-group type: C2/m (12)

Structure (POSCAR):
```
Cs5PaS5
1.0
-0.043 0.068 -6.261
-2.480 -7.589 3.066
-7.278 5.916 0.114
Cs Pa S
5 1 5
direct
0.699 0.398 0.296
0.669 0.338 0.828
0.000 0.000 0.500
0.331 0.662 0.172
0.301 0.602 0.704
0.000 0.000 0.000
0.875 0.750 0.120
0.875 0.751 0.726
0.500 0.000 0.000
0.125 0.249 0.274
0.125 0.250 0.880
```


Entry 8:
The following is a PBE calculation of an optimized crystal structure of Cs2Pa3S8, from Alexandria via LeMat-Bulk.

Computed properties:
Density of states at the Fermi level in states/eV/f.u.: 8.46
Total magnetization in μB per atom: 0.09
Distance to the lowest polymorph of the same formula in meV per atom: 37
Formation energy (no corrections) in eV/atom: -1.56
Space-group type: P2/m (10)

Structure (POSCAR):
```
Cs2Pa3S8
1.0
4.190 0.000 0.000
0.000 9.122 -6.707
0.000 -1.056 11.635
Cs Pa S
2 3 8
direct
0.500 0.266 0.532
0.500 0.734 0.468
0.500 0.000 0.000
0.000 0.271 0.925
0.000 0.729 0.075
0.000 0.571 0.172
0.000 0.429 0.828
0.000 0.046 0.175
0.000 0.954 0.825
0.500 0.710 0.895
0.500 0.140 0.737
0.500 0.860 0.263
0.500 0.290 0.105
```


Entry 9:
The following is a PBE calculation of an optimized crystal structure of Cs2Pa3S8, from Alexandria via LeMat-Bulk.

Computed properties:
Density of states at the Fermi level in states/eV/f.u.: 8.17
Total magnetization in μB per atom: 0.09
Distance to the lowest polymorph of the same formula in meV per atom: 0
Formation energy (no corrections) in eV/atom: -1.59
Space-group type: C2/m (12)

Structure (POSCAR):
```
Cs2Pa3S8
1.0
-0.013 -0.346 7.041
0.529 -8.231 -0.404
7.704 4.752 -2.329
Cs Pa S
2 3 8
direct
0.332 0.270 0.541
0.668 0.730 0.459
0.500 0.000 0.000
0.000 0.257 0.000
0.000 0.743 0.000
0.965 0.596 0.192
0.035 0.404 0.808
0.897 0.087 0.173
0.103 0.913 0.827
0.620 0.691 0.824
0.620 0.133 0.824
0.380 0.867 0.176
0.380 0.309 0.176
```


Entry 10:
The following is a PBE calculation of an optimized crystal structure of CsPa4S12, from Alexandria via LeMat-Bulk.

Computed properties:
Density of states at the Fermi level in states/eV/f.u.: 5.88
Total magnetization in μB per atom: 0.00
Formation energy (no corrections) in eV/atom: -1.18
Space-group type: Im-3m (229)

Structure (POSCAR):
```
CsPa4S12
1.0
-8.453 0.511 -3.316
4.238 -7.197 -3.600
-0.340 -0.893 9.044
Cs Pa S
1 4 12
direct
0.000 0.000 0.000
0.000 0.500 0.000
0.500 0.000 0.000
0.500 0.500 0.500
0.000 0.000 0.500
0.750 0.250 0.000
0.250 0.500 0.250
0.000 0.250 0.750
0.250 0.000 0.750
0.000 0.750 0.250
0.750 0.500 0.750
0.500 0.250 0.250
0.500 0.750 0.750
0.750 0.000 0.250
0.750 0.750 0.500
0.250 0.250 0.500
0.250 0.750 0.000
```


Entry 11:
The following is a PBE calculation of an optimized crystal structure of Cs2PaS4, from Alexandria via LeMat-Bulk.

Computed properties:
Density of states at the Fermi level in states/eV/f.u.: 5.27
Total magnetization in μB per atom: 0.09
Distance to the lowest polymorph of the same formula in meV per atom: 0
Formation energy (no corrections) in eV/atom: -1.34
Space-group type: I4/mmm (139)

Structure (POSCAR):
```
Cs2PaS4
1.0
5.149 0.000 -1.515
-0.446 5.130 -1.515
0.035 0.038 9.625
Cs Pa S
2 1 4
direct
0.352 0.352 0.704
0.648 0.648 0.296
0.000 0.000 0.000
0.144 0.144 0.289
0.856 0.856 0.711
0.500 0.000 0.000
0.000 0.500 0.000
```


Entry 12:
The following is a PBE calculation of an optimized crystal structure of CsPa4S8, from Alexandria via LeMat-Bulk.

Computed properties:
Density of states at the Fermi level in states/eV/f.u.: 16.21
Total magnetization in μB per atom: 0.39
Distance to the lowest polymorph of the same formula in meV per atom: 0
Formation energy (no corrections) in eV/atom: -1.57
Space-group type: Cm (8)

Structure (POSCAR):
```
CsPa4S8
1.0
4.025 0.000 0.872
1.784 9.933 1.492
0.162 0.230 8.980
Cs Pa S
1 4 8
direct
0.581 0.934 0.903
0.364 0.848 0.423
0.887 0.451 0.776
0.161 0.508 0.171
0.670 0.217 0.443
0.066 0.401 0.467
0.557 0.682 0.204
0.484 0.276 0.757
0.854 0.715 0.578
0.866 0.994 0.274
0.262 0.603 0.874
0.180 0.054 0.586
0.773 0.340 0.113
```


Entry 13:
The following is a PBE calculation of an optimized crystal structure of Cs2PaS3, from Alexandria via LeMat-Bulk.

Computed properties:
Density of states at the Fermi level in states/eV/f.u.: 5.50
Total magnetization in μB per atom: 0.17
Formation energy (no corrections) in eV/atom: -1.32
Space-group type: Cmmm (65)

Structure (POSCAR):
```
Cs2PaS3
1.0
-1.237 -1.296 -3.799
-4.214 -3.394 2.531
-3.326 8.127 -1.690
Cs Pa S
2 1 3
direct
0.500 0.334 0.668
0.500 0.666 0.332
0.000 0.000 0.000
0.500 0.896 0.793
0.500 0.104 0.207
0.000 0.500 0.000
```


Entry 14:
The following is a PBE calculation of an optimized crystal structure of Cs2PaS4, from Alexandria via LeMat-Bulk.

Computed properties:
Density of states at the Fermi level in states/eV/f.u.: 5.00
Total magnetization in μB per atom: 0.15
Distance to the lowest polymorph of the same formula in meV per atom: 58
Formation energy (no corrections) in eV/atom: -1.28
Space-group type: Pbam (55)

Structure (POSCAR):
```
Cs2PaS4
1.0
4.257 0.000 0.000
0.000 8.491 0.000
0.000 0.000 14.310
Cs Pa S
4 2 8
direct
0.500 0.943 0.824
0.500 0.057 0.176
0.500 0.443 0.676
0.500 0.557 0.324
0.000 0.000 0.500
0.000 0.500 0.000
0.000 0.621 0.837
0.000 0.379 0.163
0.000 0.121 0.663
0.000 0.879 0.337
0.500 0.814 0.546
0.500 0.186 0.454
0.500 0.686 0.046
0.500 0.314 0.954
```


Entry 15:
The following is a PBE calculation of an optimized crystal structure of Cs3ScPa3S8, from Alexandria via LeMat-Bulk.

Computed properties:
Density of states at the Fermi level in states/eV/f.u.: 17.25
Total magnetization in μB per atom: 0.33
Formation energy (no corrections) in eV/atom: -1.57
Space-group type: R-3m (166)

Structure (POSCAR):
```
Cs3ScPa3S8
1.0
-1.300 -1.862 -7.634
0.065 -5.723 5.540
-7.771 5.451 -0.008
Cs Sc Pa S
3 1 3 8
direct
0.000 0.000 0.000
0.000 0.500 0.000
0.500 0.500 0.000
0.000 0.000 0.500
0.500 0.000 0.500
0.500 0.500 0.500
0.000 0.500 0.500
0.271 0.541 0.312
0.729 0.459 0.688
0.780 0.559 0.323
0.220 0.441 0.677
0.780 0.044 0.323
0.220 0.956 0.677
0.264 0.044 0.323
0.736 0.956 0.677
```


Entry 16:
The following is a PBE calculation of an optimized crystal structure of Cs3Sc2PaS6, from Alexandria via LeMat-Bulk.

Computed properties:
Density of states at the Fermi level in states/eV/f.u.: 7.84
Total magnetization in μB per atom: 0.13
Formation energy (no corrections) in eV/atom: -1.59
Space-group type: C2/m (12)

Structure (POSCAR):
```
Cs3Sc2PaS6
1.0
-4.556 1.482 -4.910
1.860 -6.510 1.100
-5.094 0.862 6.584
Cs Sc Pa S
3 2 1 6
direct
0.167 0.833 0.500
0.833 0.167 0.500
0.500 0.500 0.500
0.333 0.667 0.000
0.667 0.333 0.000
0.000 0.000 0.000
0.941 0.600 0.823
0.719 0.719 0.177
0.059 0.400 0.177
0.600 0.941 0.823
0.281 0.281 0.823
0.400 0.059 0.177
```


Entry 17:
The following is a PBE calculation of an optimized crystal structure of Cs2PaSe2S2, from Alexandria via LeMat-Bulk.

Computed properties:
Density of states at the Fermi level in states/eV/f.u.: 4.38
Total magnetization in μB per atom: 0.10
Formation energy (no corrections) in eV/atom: -1.24
Space-group type: C2/m (12)

Structure (POSCAR):
```
Cs2PaSe2S2
1.0
-0.397 -4.304 -0.772
2.994 -3.851 7.461
-5.122 -0.568 5.801
Cs Pa Se S
2 1 2 2
direct
0.837 0.324 0.338
0.163 0.676 0.662
0.000 0.000 0.000
0.501 0.999 0.763
0.499 0.001 0.237
0.837 0.326 0.836
0.163 0.674 0.164
```


Entry 18:
The following is a PBE calculation of an optimized crystal structure of CsPaSe2S, from Alexandria via LeMat-Bulk.

Computed properties:
Total magnetization in μB per atom: 0.00
Formation energy (no corrections) in eV/atom: -1.41
Space-group type: P2_1/m (11)

Structure (POSCAR):
```
CsPaSe2S
1.0
-4.177 -0.606 0.877
-0.765 -5.758 -7.625
2.252 -6.063 6.535
Cs Pa Se S
2 2 4 2
direct
0.250 0.686 0.332
0.750 0.314 0.668
0.250 0.856 0.823
0.750 0.144 0.177
0.750 0.912 0.649
0.750 0.844 0.033
0.250 0.088 0.351
0.250 0.156 0.967
0.250 0.602 0.729
0.750 0.398 0.271
```


Entry 19:
The following is a PBE calculation of an optimized crystal structure of CsPaSi2S8, from Alexandria via LeMat-Bulk.

Computed properties:
Total magnetization in μB per atom: 0.00
Formation energy (no corrections) in eV/atom: -0.92
Space-group type: C2/m (12)

Structure (POSCAR):
```
CsPaSi2S8
1.0
-4.432 -2.109 -4.256
-5.723 -1.438 2.717
-6.723 6.697 -1.888
Cs Pa Si S
1 1 2 8
direct
0.000 0.000 0.500
0.000 0.000 0.000
0.552 0.552 0.209
0.448 0.448 0.791
0.810 0.333 0.777
0.751 0.751 0.019
0.600 0.600 0.405
0.400 0.400 0.595
0.249 0.249 0.981
0.333 0.810 0.777
0.667 0.190 0.223
0.190 0.667 0.223
```


Entry 20:
The following is a PBE calculation of an optimized crystal structure of Cs2PaSiS6, from Alexandria via LeMat-Bulk.

Computed properties:
Density of states at the Fermi level in states/eV/f.u.: 2.86
Total magnetization in μB per atom: 0.00
Formation energy (no corrections) in eV/atom: -1.10
Space-group type: P-3m1 (164)

Structure (POSCAR):
```
Cs2PaSiS6
1.0
6.198 0.000 0.000
0.000 7.661 0.000
0.000 -3.830 6.635
Cs Pa Si S
2 1 1 6
direct
0.227 0.333 0.667
0.773 0.667 0.333
0.500 0.000 0.000
0.000 0.000 0.000
0.788 0.146 0.291
0.788 0.146 0.854
0.788 0.709 0.854
0.212 0.854 0.146
0.212 0.291 0.146
0.212 0.854 0.709
```